A relaxed PAuI2F crystal, computed with PBE-GGA.

a = 5.721 Å, b = 4.073 Å, c = 5.721 Å
α = 90.00°, β = 90.00°, γ = 90.00°
Atoms (fractional coordinates):
Au: 0.000 0.500 0.000
I: 0.000 0.000 0.500
I: 0.500 0.000 0.000
P: 0.500 0.500 0.500
F: 0.000 0.000 0.000

Output
size of the total moment = 0.00 μB/cell
space-group type = No. 123
ΔE_f (raw) = 0.6238 eV per atom
crystal system = tetragonal
N(E_F) = 5.3 states/eV/cell